1.
A relaxed structure of FeGeMoOs, computed with PBE.

Summary:
Energy of formation ... 0.35 eV per formula unit
Density ... 12.3 g/cm³

Cell: 4.2891 4.2891 4.2891 Å, 60.00 60.00 60.00°
With the nearest neighbours (Å) after each atom.
Atoms (fractional coordinates):
Mo 0.5000 0.5000 0.5000  4 Ge 2.63, 4 Fe 2.63
Ge 0.2500 0.2500 0.2500  4 Mo 2.63, 4 Os 2.63
Os 0.0000 0.0000 0.0000  4 Ge 2.63, 4 Fe 2.63
Fe 0.7500 0.7500 0.7500  4 Mo 2.63, 4 Os 2.63



2.
A relaxed structure of Mg2Co2Bi, computed with PBE.

Summary:
Energy of formation ... 0.68 eV per formula unit
Density ... 6.9 g/cm³

Cell: 6.5572 6.5572 4.2075 Å, 90.00 90.00 90.00°
With the nearest neighbours (Å) after each atom.
Atoms (fractional coordinates):
Bi 0.5000 0.5000 0.0000  4 Co 2.60
Bi 0.0000 0.0000 0.0000  4 Co 2.60
Co 0.3768 0.8768 0.0000  1 Co 2.28
Co 0.8768 0.6232 0.0000  1 Co 2.28
Co 0.6232 0.1232 0.0000  1 Co 2.28
Co 0.1232 0.3768 0.0000  1 Co 2.28
Mg 0.6593 0.8407 0.5000  6 Co 2.81-2.91, 1 Mg 2.95
Mg 0.1593 0.6593 0.5000  6 Co 2.81-2.91, 1 Mg 2.95
Mg 0.3407 0.1593 0.5000  6 Co 2.81-2.91, 1 Mg 2.95
Mg 0.8407 0.3407 0.5000  6 Co 2.81-2.91, 1 Mg 2.95



3.
A relaxed structure of YMoPb2, computed with PBE.

Summary:
Energy of formation ... 1.32 eV per formula unit
Energy relative to the lowest polymorph listed for this composition ... 130 meV/atom
Density ... 10.2 g/cm³

Cell: 5.3235 5.3235 3.6135 Å, 83.18 83.18 104.61°
With the nearest neighbours (Å) after each atom.
Atoms (fractional coordinates):
Pb 0.5000 0.5000 0.0000  4 Y 3.03-3.39, 4 Mo 3.03-3.39, 2 Pb 3.26
Pb 0.0000 0.0000 0.0000  4 Mo 3.03-3.39, 4 Y 3.03-3.39, 2 Pb 3.26
Y 0.5000 0.0000 0.5000  8 Pb 3.03-3.39, 2 Mo 3.26
Mo 0.0000 0.5000 0.5000  8 Pb 3.03-3.39, 2 Y 3.26



4.
A relaxed structure of Tb3Nd6Sm2, computed with PBE.

Summary:
Energy of formation ... 3.08 eV per formula unit
Energy relative to the lowest polymorph listed for this composition ... 268 meV/atom
Density ... 6.9 g/cm³

Cell: 4.7957 4.7957 17.4268 Å, 97.91 97.91 90.00°
With the nearest neighbours (Å) after each atom.
Atoms (fractional coordinates):
Nd 0.2961 0.2961 0.5921  5 Tb 3.40-3.43, 4 Nd 3.72
Nd 0.8791 0.3791 0.7581  6 Nd 3.39-3.72, 2 Tb 3.51, 2 Sm 3.53
Nd 0.6209 0.1209 0.2419  6 Nd 3.39-3.72, 2 Tb 3.51, 2 Sm 3.53
Nd 0.3791 0.8791 0.7581  6 Nd 3.39-3.72, 2 Tb 3.51, 2 Sm 3.53
Nd 0.1209 0.6209 0.2419  6 Nd 3.39-3.72, 2 Tb 3.51, 2 Sm 3.53
Nd 0.7039 0.7039 0.4079  5 Tb 3.40-3.43, 4 Nd 3.72
Sm 0.4550 0.4550 0.9100  1 Sm 3.08
Sm 0.5450 0.5450 0.0900  1 Sm 3.08
Tb 0.8042 0.8042 0.6084  9 Nd 3.40-3.51
Tb 0.0000 0.0000 0.0000  8 Sm 3.72
Tb 0.1958 0.1958 0.3916  9 Nd 3.40-3.51



5.
A relaxed structure of LaCo3Sn, computed with PBE.

Summary:
Energy of formation ... 2.85 eV per formula unit
Density ... 6.8 g/cm³

Cell: 4.7455 4.7455 4.7455 Å, 90.00 90.00 90.00°
With the nearest neighbours (Å) after each atom.
Atoms (fractional coordinates):
Co 0.0000 0.0000 0.5000  2 Sn 2.37
Co 0.0000 0.5000 0.0000  2 Sn 2.37
Co 0.5000 0.0000 0.0000  2 Sn 2.37
La 0.5000 0.5000 0.5000  12 Co 3.36
Sn 0.0000 0.0000 0.0000  6 Co 2.37



6.
A relaxed structure of CeSm7Dy4, computed with PBE.

Summary:
Energy of formation ... 1.76 eV per formula unit
Density ... 7.7 g/cm³

Cell: 6.0066 9.2265 10.0839 Å, 74.90 90.24 49.37°
With the nearest neighbours (Å) after each atom.
Atoms (fractional coordinates):
Ce 0.0000 0.0000 0.0000  2 Sm 3.00
Sm 0.2890 0.4627 0.0752  3 Sm 3.31-3.34, 2 Dy 3.66
Sm 0.0638 0.1869 0.6264  5 Sm 3.54-3.83, 6 Dy 3.67-3.73, 1 Ce 3.85
Sm 0.9362 0.8131 0.3736  5 Sm 3.54-3.83, 6 Dy 3.67-3.73, 1 Ce 3.85
Sm 0.7110 0.5373 0.9248  3 Sm 3.31-3.34, 2 Dy 3.66
Sm 0.5375 0.7127 0.5745  5 Sm 3.31-3.56, 3 Dy 3.42-3.71
Sm 0.5000 0.0000 0.0000  2 Ce 3.00
Sm 0.4625 0.2873 0.4255  5 Sm 3.31-3.56, 3 Dy 3.42-3.71
Dy 0.1172 0.1314 0.2720  1 Dy 3.26, 2 Sm 3.42-3.53, 1 Ce 3.51
Dy 0.6521 0.5966 0.2719  1 Dy 3.26, 2 Sm 3.42-3.53, 1 Ce 3.51
Dy 0.8828 0.8686 0.7280  1 Dy 3.26, 2 Sm 3.42-3.53, 1 Ce 3.51
Dy 0.3479 0.4034 0.7281  1 Dy 3.26, 2 Sm 3.42-3.53, 1 Ce 3.51



7.
A relaxed structure of ReSb2Os, computed with PBE.

Summary:
Formation energy from raw total energies ... 0.410 eV per atom
Energy relative to the lowest polymorph listed for this composition ... 121 meV/atom
Density ... 11.8 g/cm³

Cell: 3.9039 2.9187 8.2705 Å, 67.84 90.00 90.00°
With the nearest neighbours (Å) after each atom.
Atoms (fractional coordinates):
Sb 0.0000 0.9621 0.9262  1 Os 2.79, 2 Sb 2.92, 4 Re 2.98-3.04
Sb 0.5000 0.5215 0.3152  2 Os 2.73, 2 Sb 2.92
Re 0.5000 0.6877 0.6963  4 Os 2.64-2.65, 2 Re 2.92
Os 0.0000 0.3287 0.5623  4 Re 2.64-2.65, 3 Sb 2.73-2.79, 2 Os 2.92



8.
A relaxed structure of Cs2AlCl5, computed with PBE.

Summary:
Formation energy from raw total energies ... -1.823 eV per atom
Energy relative to the lowest polymorph listed for this composition ... 11 meV/atom
Density ... 2.7 g/cm³

Cell: 7.3374 7.3374 7.3374 Å, 95.72 116.75 116.75°
With the nearest neighbours (Å) after each atom.
Atoms (fractional coordinates):
Cl 0.5862 0.7787 0.7787  1 Al 2.30
Cl 0.0000 0.1925 0.7787  1 Al 2.30
Cl 0.4138 0.1925 0.1925  1 Al 2.30
Cl 0.0000 0.2580 0.2580  1 Al 2.19
Cl 0.0000 0.7787 0.1925  1 Al 2.30
Al 0.0000 0.0355 0.0355  5 Cl 2.19-2.30
Cs 0.5000 0.7431 0.2431  10 Cl 3.65-3.85
Cs 0.5000 0.2431 0.7431  10 Cl 3.65-3.85



density of number 6 (CeSm7Dy4)?
7.7 g/cm³



The highest density belongs to which entry?
FeGeMoOs